PSN after structural relaxation, computed with GGA-PBE.

The space group is P3m1 (No. 156) and the conventional cell measures 2.8747, 2.8747 and 6.0342 Å, with angles of 90.00, 90.00 and 120.00 degrees. The inequivalent atoms are P at (0.0000, 0.0000, 0.0000), S at (0.3333, 0.6667, 0.7450) and N at (0.6667, 0.3333, 0.1339).

The formation energy (no corrections) is 0.371 eV/atom. The calculation puts the density of states at the Fermi level at 0.40 states/eV/cell. The excess energy over the best structure of this formula in the dataset comes out at 1.04 eV per formula unit. Its calculated volume is 43 Å³/cell. Its raw total energy is -16.751 eV for the cell shown.